The following is a PBE+U calculation of a relaxed Na2NpCoF8 crystal, from the Alexandria database.

Calculated values
total moment	0.0000	μB/atom
theoretical density	4.888	g/cm3
VASP energy	-5.85	eV per atom

Structure (CIF):
```
data_Na2NpCoF8
_cell_length_a 3.8742
_cell_length_b 5.4511
_cell_length_c 7.9620
_cell_angle_alpha 86.98
_cell_angle_beta 89.97
_cell_angle_gamma 87.91
_symmetry_space_group_name_H-M 'P -1'
_symmetry_Int_Tables_number 2
_symmetry_space_group_name_Hall '-P 1'
loop_
_atom_site_label
_atom_site_type_symbol
_atom_site_fract_x
_atom_site_fract_y
_atom_site_fract_z
Na1 Na 0.0072 0.0327 0.2172
Np1 Np 0.5000 0.5000 0.5000
Co1 Co 0.5000 0.5000 0.0000
F1 F 0.0042 0.7180 0.5452
F2 F 0.0961 0.7277 0.0291
F3 F 0.4748 0.3398 0.2353
F4 F 0.4809 0.1871 0.6789
```